## NbAlMoF2 (PBE+U)

Data for an optimized crystal structure of NbAlMoF2.

a b c (Å): 4.0492 4.0492 6.1241
angles (deg): 90.00 90.00 90.00
Last column: nearest neighbours and their distance in Å.
Space group P4/mmm (No. 123)
One atom of each set of equivalent atoms:
Nb (0.0000, 0.0000, 0.0000)  4 Al 2.86
Al (0.5000, 0.5000, 0.0000)  4 Nb 2.86, 2 Mo 3.06
Mo (0.5000, 0.5000, 0.5000)  4 F 2.02
F (0.0000, 0.5000, 0.5000)  2 Mo 2.02

## Properties
For the density, the calculation gives 4.2 Mg/m³. The value obtained for the total energy is -26.6 eV/cell.